# PBE CoIr, optimized geometry
data_CoIr
_chemical_formula_sum 'Co6 Ir6'
_symmetry_space_group_name_H-M 'P m -3 n'
_symmetry_Int_Tables_number 223
_symmetry_space_group_name_Hall '-P 4n 2 3'
_cell_length_a 6.439
_cell_length_b 6.439
_cell_length_c 6.439
_cell_angle_alpha 90.00
_cell_angle_beta 90.00
_cell_angle_gamma 90.00
loop_
_atom_site_label
_atom_site_type_symbol
_atom_site_fract_x
_atom_site_fract_y
_atom_site_fract_z
_atom_site_occupancy
Co1 Co 0.000 0.250 0.500 1
Ir1 Ir 0.000 0.500 0.250 1
# spin magnetization = 4.38 μB/cell
# density = 9.4 g/cm3
# crystal system = cubic
# formation energy from the elements = 1.2971 eV per atom



# PBE Co17Ir2, optimized geometry
data_Co17Ir2
_chemical_formula_sum 'Co51 Ir6'
_symmetry_space_group_name_H-M 'R -3 m'
_symmetry_Int_Tables_number 166
_symmetry_space_group_name_Hall '-R 3 2"'
_cell_length_a 8.0094
_cell_length_b 8.0094
_cell_length_c 12.0763
_cell_angle_alpha 90.00
_cell_angle_beta 90.00
_cell_angle_gamma 120.00
loop_
_atom_site_label
_atom_site_type_symbol
_atom_site_fract_x
_atom_site_fract_y
_atom_site_fract_z
_atom_site_occupancy
Co1 Co 0.0000 0.0000 0.0985 1
Co2 Co 0.0000 0.2993 0.0000 1
Co3 Co 0.0000 0.5000 0.5000 1
Co4 Co 0.0076 0.5038 0.1466 1
Ir1 Ir 0.0000 0.0000 0.3216 1
# spin magnetization = 92.18 μB/cell
# density = 10.3 g/cm3
# crystal system = trigonal
# formation energy from the elements = 0.1900 eV per atom



# PBE CoIr2, optimized geometry
data_CoIr2
_chemical_formula_sum 'Co4 Ir8'
_symmetry_space_group_name_H-M 'I 4/m c m'
_symmetry_Int_Tables_number 140
_symmetry_space_group_name_Hall '-I 4 2c'
_cell_length_a 6.061
_cell_length_b 6.061
_cell_length_c 4.509
_cell_angle_alpha 90.00
_cell_angle_beta 90.00
_cell_angle_gamma 90.00
loop_
_atom_site_label
_atom_site_type_symbol
_atom_site_fract_x
_atom_site_fract_y
_atom_site_fract_z
_atom_site_occupancy
Co1 Co 0.000 0.000 0.250 1
Ir1 Ir 0.149 0.351 0.000 1
# spin magnetization = 12.14 μB/cell
# density = 17.8 g/cm3
# crystal system = tetragonal
# formation energy from the elements = 0.2980 eV per atom



# PBE CoIr, optimized geometry
data_CoIr
_chemical_formula_sum 'Co8 Ir8'
_symmetry_space_group_name_H-M 'I 4/m m m'
_symmetry_Int_Tables_number 139
_symmetry_space_group_name_Hall '-I 4 2'
_cell_length_a 7.819
_cell_length_b 7.819
_cell_length_c 3.566
_cell_angle_alpha 90.00
_cell_angle_beta 90.00
_cell_angle_gamma 90.00
loop_
_atom_site_label
_atom_site_type_symbol
_atom_site_fract_x
_atom_site_fract_y
_atom_site_fract_z
_atom_site_occupancy
Co1 Co 0.000 0.340 0.000 1
Ir1 Ir 0.165 0.165 0.500 1
# spin magnetization = 11.41 μB/cell
# density = 15.3 g/cm3
# crystal system = tetragonal
# formation energy from the elements = 0.2211 eV per atom



# PBE Co5Ir, optimized geometry
data_Co5Ir
_chemical_formula_sum 'Co10 Ir2'
_symmetry_space_group_name_H-M 'A m m 2'
_symmetry_Int_Tables_number 38
_symmetry_space_group_name_Hall 'A 2 -2'
_cell_length_a 4.099
_cell_length_b 2.585
_cell_length_c 13.160
_cell_angle_alpha 90.00
_cell_angle_beta 90.00
_cell_angle_gamma 90.00
loop_
_atom_site_label
_atom_site_type_symbol
_atom_site_fract_x
_atom_site_fract_y
_atom_site_fract_z
_atom_site_occupancy
Co1 Co 0.000 0.000 0.000 1
Co2 Co 0.000 0.000 0.325 1
Co3 Co 0.000 0.000 0.662 1
Co4 Co 0.500 0.000 0.212 1
Co5 Co 0.500 0.000 0.553 1
Ir1 Ir 0.500 0.000 0.883 1
# spin magnetization = 16.60 μB/cell
# density = 11.6 g/cm3
# crystal system = orthorhombic
# formation energy from the elements = 0.0146 eV per atom
# energy above the lowest structure with this stoichiometry = 7.8 meV/atom



# PBE CoIr, optimized geometry
data_CoIr
_chemical_formula_sum 'Co4 Ir4'
_symmetry_space_group_name_H-M 'C 1 2/m 1'
_symmetry_Int_Tables_number 12
_symmetry_space_group_name_Hall '-C 2y'
_cell_length_a 9.572
_cell_length_b 2.690
_cell_length_c 4.508
_cell_angle_alpha 90.00
_cell_angle_beta 117.57
_cell_angle_gamma 90.00
loop_
_atom_site_label
_atom_site_type_symbol
_atom_site_fract_x
_atom_site_fract_y
_atom_site_fract_z
_atom_site_occupancy
Co1 Co 0.128 0.000 0.296 1
Ir1 Ir 0.123 0.500 0.796 1
# spin magnetization = 6.94 μB/cell
# density = 16.2 g/cm3
# crystal system = monoclinic
# formation energy from the elements = 0.0095 eV per atom



# PBE CoIr, optimized geometry
data_CoIr
_chemical_formula_sum 'Co6 Ir6'
_symmetry_space_group_name_H-M 'R -3 m'
_symmetry_Int_Tables_number 166
_symmetry_space_group_name_Hall '-R 3 2"'
_cell_length_a 2.6759
_cell_length_b 2.6759
_cell_length_c 25.2448
_cell_angle_alpha 90.00
_cell_angle_beta 90.00
_cell_angle_gamma 120.00
loop_
_atom_site_label
_atom_site_type_symbol
_atom_site_fract_x
_atom_site_fract_y
_atom_site_fract_z
_atom_site_occupancy
Co1 Co 0.0000 0.0000 0.1285 1
Ir1 Ir 0.0000 0.0000 0.3783 1
# spin magnetization = 9.81 μB/cell
# density = 16.0 g/cm3
# crystal system = trigonal
# formation energy from the elements = 0.0939 eV per atom



# PBE CoIr, optimized geometry
data_CoIr
_chemical_formula_sum 'Co2 Ir2'
_symmetry_space_group_name_H-M 'P 63/m m c'
_symmetry_Int_Tables_number 194
_symmetry_space_group_name_Hall '-P 6c 2c'
_cell_length_a 4.0405
_cell_length_b 4.0405
_cell_length_c 4.7821
_cell_angle_alpha 90.00
_cell_angle_beta 90.00
_cell_angle_gamma 120.00
loop_
_atom_site_label
_atom_site_type_symbol
_atom_site_fract_x
_atom_site_fract_y
_atom_site_fract_z
_atom_site_occupancy
Co1 Co 0.3333 0.6667 0.2500 1
Ir1 Ir 0.3333 0.6667 0.7500 1
# spin magnetization = 0.82 μB/cell
# density = 12.3 g/cm3
# crystal system = hexagonal
# formation energy from the elements = 1.0667 eV per atom



# PBE CoIr, optimized geometry
data_CoIr
_chemical_formula_sum 'Co4 Ir4'
_symmetry_space_group_name_H-M 'C m c m'
_symmetry_Int_Tables_number 63
_symmetry_space_group_name_Hall '-C 2c 2'
_cell_length_a 2.657
_cell_length_b 9.697
_cell_length_c 3.968
_cell_angle_alpha 90.00
_cell_angle_beta 90.00
_cell_angle_gamma 90.00
loop_
_atom_site_label
_atom_site_type_symbol
_atom_site_fract_x
_atom_site_fract_y
_atom_site_fract_z
_atom_site_occupancy
Co1 Co 0.000 0.064 0.250 1
Ir1 Ir 0.000 0.326 0.250 1
# spin magnetization = 6.63 μB/cell
# density = 16.3 g/cm3
# crystal system = orthorhombic
# formation energy from the elements = 0.0646 eV per atom



# PBE Co5Ir, optimized geometry
data_Co5Ir
_chemical_formula_sum 'Co10 Ir2'
_symmetry_space_group_name_H-M 'C 1 m 1'
_symmetry_Int_Tables_number 8
_symmetry_space_group_name_Hall 'C -2y'
_cell_length_a 9.306
_cell_length_b 2.579
_cell_length_c 6.015
_cell_angle_alpha 90.00
_cell_angle_beta 104.73
_cell_angle_gamma 90.00
loop_
_atom_site_label
_atom_site_type_symbol
_atom_site_fract_x
_atom_site_fract_y
_atom_site_fract_z
_atom_site_occupancy
Co1 Co 0.000 0.000 0.000 1
Co2 Co 0.052 0.000 0.598 1
Co3 Co 0.167 0.500 0.335 1
Co4 Co 0.337 0.000 0.655 1
Co5 Co 0.392 0.000 0.278 1
Ir1 Ir 0.221 0.500 0.936 1
# spin magnetization = 16.84 μB/cell
# density = 11.6 g/cm3
# crystal system = monoclinic
# formation energy from the elements = 0.0084 eV per atom
# energy above the lowest structure with this stoichiometry = 1.6 meV/atom



# PBE Co5Ir, optimized geometry
data_Co5Ir
_chemical_formula_sum 'Co5 Ir1'
_symmetry_space_group_name_H-M 'P -6 2 m'
_symmetry_Int_Tables_number 189
_symmetry_space_group_name_Hall 'P -6 -2'
_cell_length_a 4.4148
_cell_length_b 4.4148
_cell_length_c 4.1196
_cell_angle_alpha 90.00
_cell_angle_beta 90.00
_cell_angle_gamma 120.00
loop_
_atom_site_label
_atom_site_type_symbol
_atom_site_fract_x
_atom_site_fract_y
_atom_site_fract_z
_atom_site_occupancy
Co1 Co 0.0000 0.6587 0.0000 1
Co2 Co 0.3333 0.6667 0.5000 1
Ir1 Ir 0.0000 0.0000 0.5000 1
# spin magnetization = 8.44 μB/cell
# density = 11.6 g/cm3
# crystal system = hexagonal
# formation energy from the elements = 0.0068 eV per atom
# energy above the lowest structure with this stoichiometry = 0.0 meV/atom



# PBE Co5Ir4, optimized geometry
data_Co5Ir4
_chemical_formula_sum 'Co10 Ir8'
_symmetry_space_group_name_H-M 'I 4/m'
_symmetry_Int_Tables_number 87
_symmetry_space_group_name_Hall '-I 4'
_cell_length_a 8.072
_cell_length_b 8.072
_cell_length_c 4.227
_cell_angle_alpha 90.00
_cell_angle_beta 90.00
_cell_angle_gamma 90.00
loop_
_atom_site_label
_atom_site_type_symbol
_atom_site_fract_x
_atom_site_fract_y
_atom_site_fract_z
_atom_site_occupancy
Co1 Co 0.000 0.000 0.000 1
Co2 Co 0.064 0.624 0.500 1
Ir1 Ir 0.158 0.751 0.000 1
# spin magnetization = 16.32 μB/cell
# density = 12.8 g/cm3
# crystal system = tetragonal
# formation energy from the elements = 0.5864 eV per atom
# energy above the lowest structure with this stoichiometry = 547.5 meV/atom



- Look up the density of the eighth one.
  12.3 g/cm3



- Look up the density of the seventh one.
  16.0 g/cm3



- Among the records above, which one has the lowest spin magnetization?
  number 8



- The highest density belongs to which entry?
  CoIr2